[1]
Pm3Pr4Nd2: relaxed, GGA-PBE.

Calculated values
As for the density of states at the Fermi level: 16.8 states/eV/cell. Its total DFT energy (no corrections) is -42.36 eV/cell. Its formation energy is 60 meV/atom. For the size of the total moment, the calculation gives 0.00 μB per cell.

```
Pm3Pr4Nd2
1.0
3.680 0.000 0.000
-1.840 3.187 0.000
0.000 0.000 27.546
Pm Nd Pr
3 2 4
Direct
0.667 0.333 0.654
0.000 0.000 0.984
0.000 0.000 0.322
0.667 0.333 0.873
0.667 0.333 0.088
0.667 0.333 0.216
0.000 0.000 0.544
0.000 0.000 0.763
0.667 0.333 0.433
```

[2]
CrFe2P: relaxed, GGA-PBE.

Calculated values
As for the density of states at the Fermi level: 4.1 states/eV/cell. Its total DFT energy (no corrections) is -32.17 eV/cell. Its formation energy is -52 meV/atom. For the size of the total moment, the calculation gives 0.00 μB per cell.

```
CrFe2P
1.0
2.630 0.000 0.000
0.000 3.532 0.000
0.000 0.000 4.666
P Fe Cr
1 2 1
Direct
0.000 0.000 0.473
0.000 0.000 0.972
0.500 0.500 0.289
0.500 0.500 0.765
```

[3]
ZnMoPd2: relaxed, GGA-PBE.

Calculated values
As for the density of states at the Fermi level: 3.5 states/eV/cell. Its total DFT energy (no corrections) is -23.09 eV/cell. Its formation energy is -149 meV/atom. For the size of the total moment, the calculation gives 0.00 μB per cell.

```
ZnMoPd2
1.0
2.814 0.000 0.000
1.407 2.437 0.000
1.407 0.812 8.795
Pd Zn Mo
2 1 1
Direct
0.747 0.747 0.758
0.253 0.253 0.242
0.000 0.000 0.000
0.500 0.500 0.500
```